4
Lattice="-1.599 2.438 5.030 1.599 -2.438 5.030 1.599 2.438 -5.030" Properties=species:S:1:pos:R:3 comment="Zr3Cu | Alexandria via LeMat-Bulk | meta-GGA SCAN | single point on PBEsol structure" dos_ef_per_ev_cell=4.02 final_energy_ev_per_fu=-107.37 pbc="T T T"
Zr 0.000 0.000 0.000
Zr 1.599 0.000 2.809
Zr 0.000 2.438 2.221
Cu 0.000 0.000 5.030